Density functional theory data (PBE) for a geometry-optimized Nd6TlOs structure.

Properties
Formation energy, meV per atom: 20
Electronic total energy, eV/cell: -42.04

Unit cell a=6.651 b=6.651 c=6.718 alpha=98.99 beta=98.99 gamma=105.11
Element x y z (fractional)
Nd 0.054 0.686 0.714
Nd 0.283 0.283 0.849
Nd 0.314 0.946 0.286
Nd 0.686 0.054 0.714
Nd 0.717 0.717 0.151
Nd 0.946 0.314 0.286
Tl 0.500 0.500 0.500
Os 0.000 0.000 0.000